Computed, not measured: a relaxed Rb2AcCoF6 crystal at the PBE with a Hubbard U level of DFT.

Cell lengths 6.2587, 9.2124, 6.9400 Å; angles 90.00, 90.00, 90.00 degrees
With the nearest neighbours (Å) after each atom.
Sites, in units of the cell vectors:
Rb  0.2500  0.0292  0.1900  9 F 2.89-3.16
Rb  0.2500  0.4708  0.1900  9 F 2.89-3.16
Rb  0.7500  0.5292  0.8100  9 F 2.89-3.16
Rb  0.7500  0.9708  0.8100  9 F 2.89-3.16
Ac  0.2500  0.2500  0.7024  6 F 2.39-2.43
Ac  0.7500  0.7500  0.2976  6 F 2.39-2.43
Co  0.2500  0.7500  0.7878  6 F 2.24-2.30
Co  0.7500  0.2500  0.2122  6 F 2.24-2.30
F  0.0052  0.2500  0.4388  1 Co 2.24, 1 Ac 2.39
F  0.0103  0.7500  0.0381  1 Co 2.30, 1 Ac 2.43
F  0.2500  0.5043  0.7767  1 Co 2.26, 1 Ac 2.40
F  0.2500  0.9957  0.7767  1 Co 2.26, 1 Ac 2.40
F  0.4897  0.7500  0.0381  1 Co 2.30, 1 Ac 2.43
F  0.4948  0.2500  0.4388  1 Co 2.24, 1 Ac 2.39
F  0.5052  0.7500  0.5612  1 Co 2.24, 1 Ac 2.39
F  0.5103  0.2500  0.9619  1 Co 2.30, 1 Ac 2.43
F  0.7500  0.0043  0.2233  1 Co 2.26, 1 Ac 2.40
F  0.7500  0.4957  0.2233  1 Co 2.26, 1 Ac 2.40
F  0.9897  0.2500  0.9619  1 Co 2.30, 1 Ac 2.43
F  0.9948  0.7500  0.5612  1 Co 2.24, 1 Ac 2.39

Properties
space-group type: Pmmn (59)
theoretical density: 4.738 g/cm³
uncorrected energy: -5.09 eV per atom
crystal system: orthorhombic

---

Computed, not measured: a relaxed Rb2AcCoF8 crystal at the PBE with a Hubbard U level of DFT.

Cell lengths 4.4563, 6.4077, 7.6107 Å; angles 88.00, 88.71, 84.60 degrees
With the nearest neighbours (Å) after each atom.
Sites, in units of the cell vectors:
Rb  0.0171  0.4958  0.2265  7 F 2.76-2.95
Rb  0.9829  0.5042  0.7735  7 F 2.76-2.95
Ac  0.5000  0.0000  0.5000  6 F 2.47-2.61
Co  0.5000  0.0000  0.0000  4 F 1.80-1.91
F  0.0104  0.2145  0.5115  1 Ac 2.47
F  0.1504  0.1638  0.0042  1 Co 1.80
F  0.4080  0.8298  0.2011  1 Co 1.91
F  0.4251  0.7907  0.7730  1 Co 2.27, 1 Ac 2.47
F  0.5749  0.2093  0.2270  1 Co 2.27, 1 Ac 2.47
F  0.5920  0.1702  0.7989  1 Co 1.91
F  0.8496  0.8362  0.9958  1 Co 1.80
F  0.9896  0.7855  0.4885  1 Ac 2.47

Properties
space-group type: P-1 (2)
theoretical density: 4.677 g/cm³
uncorrected energy: -5.07 eV per atom
crystal system: triclinic

---

Computed, not measured: a relaxed RbAcCoF6 crystal at the PBE with a Hubbard U level of DFT.

Cell lengths 6.1728, 6.1728, 11.0116 Å; angles 90.00, 90.00, 120.00 degrees
With the nearest neighbours (Å) after each atom.
Sites, in units of the cell vectors:
Rb  0.0000  0.0000  0.0000  6 F 2.82
Rb  0.0000  0.0000  0.5000  6 F 2.82
Ac  0.3333  0.6667  0.2500  6 F 2.43
Ac  0.6667  0.3333  0.7500  6 F 2.43
Co  0.3333  0.6667  0.7500  6 F 2.08
Co  0.6667  0.3333  0.2500  6 F 2.08
F  0.0414  0.3931  0.6474  1 Co 2.08
F  0.0414  0.6483  0.8526  1 Co 2.08
F  0.3517  0.3931  0.8526  1 Co 2.08
F  0.3517  0.9586  0.6474  1 Co 2.08
F  0.3931  0.0414  0.1474  1 Co 2.08
F  0.3931  0.3517  0.3526  1 Co 2.08
F  0.6069  0.6483  0.6474  1 Co 2.08
F  0.6069  0.9586  0.8526  1 Co 2.08
F  0.6483  0.0414  0.3526  1 Co 2.08
F  0.6483  0.6069  0.1474  1 Co 2.08
F  0.9586  0.3517  0.1474  1 Co 2.08
F  0.9586  0.6069  0.3526  1 Co 2.08

Properties
space-group type: P-31c (163)
theoretical density: 4.436 g/cm³
uncorrected energy: -5.51 eV per atom
crystal system: trigonal

---

Computed, not measured: a relaxed RbAc2CoF8 crystal at the PBE with a Hubbard U level of DFT.

Cell lengths 4.4658, 7.1967, 7.4443 Å; angles 67.88, 73.95, 80.73 degrees
With the nearest neighbours (Å) after each atom.
Sites, in units of the cell vectors:
Rb  0.0000  0.0000  0.0000  4 F 2.77-2.83
Ac  0.4064  0.3670  0.3115  7 F 2.41-2.66
Ac  0.5936  0.6330  0.6885  7 F 2.41-2.66
Co  0.0000  0.0000  0.5000  4 F 1.99-2.07
F  0.0324  0.7650  0.7633  1 Co 2.07
F  0.1914  0.4625  0.6221  3 Ac 2.55-2.75, 2 F 2.68
F  0.4328  0.9235  0.3759  1 Co 1.99
F  0.4387  0.6776  0.0306  2 Ac 2.41-2.58
F  0.5613  0.3224  0.9694  2 Ac 2.41-2.58
F  0.5672  0.0765  0.6241  1 Co 1.99
F  0.8086  0.5375  0.3779  3 Ac 2.55-2.75, 2 F 2.68
F  0.9676  0.2350  0.2367  1 Co 2.07

Properties
space-group type: P-1 (2)
theoretical density: 5.862 g/cm³
uncorrected energy: -5.79 eV per atom
crystal system: triclinic

---

Computed, not measured: a relaxed AcTl2Co3F12 crystal at the PBE with a Hubbard U level of DFT.

Cell lengths 7.1070, 7.1070, 7.1070 Å; angles 65.63, 65.63, 65.63 degrees
With the nearest neighbours (Å) after each atom.
Sites, in units of the cell vectors:
Ac  0.0000  0.0000  0.0000  12 F 2.59-2.82
Tl  0.3862  0.3862  0.3862  3 F 2.61
Tl  0.6138  0.6138  0.6138  3 F 2.61
Co  0.0000  0.0000  0.5000  6 F 1.97-2.03
Co  0.0000  0.5000  0.0000  6 F 1.97-2.03
Co  0.5000  0.0000  0.0000  6 F 1.97-2.03
F  0.0985  0.7405  0.7405  2 Co 2.03
F  0.1352  0.1352  0.5823  1 Co 1.97
F  0.1352  0.5823  0.1352  1 Co 1.97
F  0.2595  0.2595  0.9015  2 Co 2.03
F  0.2595  0.9015  0.2595  2 Co 2.03
F  0.4177  0.8648  0.8648  1 Co 1.97
F  0.5823  0.1352  0.1352  1 Co 1.97
F  0.7405  0.0985  0.7405  2 Co 2.03
F  0.7405  0.7405  0.0985  2 Co 2.03
F  0.8648  0.4177  0.8648  1 Co 1.97
F  0.8648  0.8648  0.4177  1 Co 1.97
F  0.9015  0.2595  0.2595  2 Co 2.03

Properties
space-group type: R-3m (166)
theoretical density: 6.066 g/cm³
uncorrected energy: -5.08 eV per atom
crystal system: trigonal

---

> Which of these has the lowest theoretical density?

RbAcCoF6